First-principles (PBE) data for an optimized crystal structure of Er6Co2Si, as listed in Alexandria via LeMat-Bulk.

a = 8.150 Å, b = 8.150 Å, c = 8.150 Å
α = 111.50°, β = 109.97°, γ = 106.98°
Atoms (fractional coordinates):
Er (0.044, 0.240, 0.805)
Er (0.179, 0.278, 0.457)
Er (0.179, 0.722, 0.902)
Er (0.327, 0.015, 0.687)
Er (0.327, 0.640, 0.313)
Er (0.435, 0.240, 0.195)
Er (0.565, 0.760, 0.805)
Er (0.673, 0.360, 0.687)
Er (0.673, 0.985, 0.313)
Er (0.821, 0.278, 0.098)
Er (0.821, 0.722, 0.543)
Er (0.956, 0.760, 0.195)
Co (0.115, 0.615, 0.500)
Co (0.337, 0.000, 0.337)
Co (0.663, 0.000, 0.663)
Co (0.885, 0.385, 0.500)
Si (0.000, 0.000, 0.000)
Si (0.500, 0.500, 0.000)

DOS at the Fermi energy in states/eV/f.u.: 6.31
Uncorrected formation energy in eV/atom: -0.33
Magnetic moment in μB per formula unit: 0.000

First-principles (PBE) data for an optimized crystal structure of ErCo2Si4, as listed in Alexandria via LeMat-Bulk.

a = 16.099 Å, b = 3.909 Å, c = 6.189 Å
α = 90.00°, β = 90.00°, γ = 90.00°
Atoms (fractional coordinates):
Er (0.141, 0.250, 0.009)
Er (0.359, 0.750, 0.509)
Er (0.641, 0.250, 0.491)
Er (0.859, 0.750, 0.991)
Co (0.034, 0.750, 0.747)
Co (0.213, 0.250, 0.486)
Co (0.287, 0.750, 0.986)
Co (0.466, 0.250, 0.247)
Co (0.534, 0.750, 0.753)
Co (0.713, 0.250, 0.014)
Co (0.787, 0.750, 0.514)
Co (0.966, 0.250, 0.253)
Si (0.028, 0.750, 0.136)
Si (0.067, 0.250, 0.527)
Si (0.182, 0.750, 0.687)
Si (0.200, 0.750, 0.288)
Si (0.300, 0.250, 0.788)
Si (0.318, 0.250, 0.187)
Si (0.433, 0.750, 0.027)
Si (0.472, 0.250, 0.636)
Si (0.528, 0.750, 0.364)
Si (0.567, 0.250, 0.973)
Si (0.682, 0.750, 0.813)
Si (0.700, 0.750, 0.212)
Si (0.800, 0.250, 0.712)
Si (0.818, 0.250, 0.313)
Si (0.933, 0.750, 0.473)
Si (0.972, 0.250, 0.864)

DOS at the Fermi energy in states/eV/f.u.: 1.75
Uncorrected formation energy in eV/atom: -0.61
Magnetic moment in μB per formula unit: 0.000

First-principles (PBE) data for an optimized crystal structure of Er4Co4Si, as listed in Alexandria via LeMat-Bulk.

a = 7.991 Å, b = 7.991 Å, c = 5.361 Å
α = 90.00°, β = 90.00°, γ = 90.00°
Atoms (fractional coordinates):
Er (0.040, 0.687, 0.112)
Er (0.187, 0.960, 0.612)
Er (0.313, 0.540, 0.612)
Er (0.460, 0.813, 0.112)
Er (0.540, 0.187, 0.888)
Er (0.687, 0.460, 0.388)
Er (0.813, 0.040, 0.388)
Er (0.960, 0.313, 0.888)
Co (0.020, 0.373, 0.395)
Co (0.127, 0.020, 0.105)
Co (0.373, 0.480, 0.105)
Co (0.480, 0.127, 0.395)
Co (0.520, 0.873, 0.605)
Co (0.627, 0.520, 0.895)
Co (0.873, 0.980, 0.895)
Co (0.980, 0.627, 0.605)
Si (0.250, 0.250, 0.250)
Si (0.750, 0.750, 0.750)

DOS at the Fermi energy in states/eV/f.u.: 7.52
Uncorrected formation energy in eV/atom: -0.30
Magnetic moment in μB per formula unit: 0.000

First-principles (PBE) data for an optimized crystal structure of Er8Co2Si, as listed in Alexandria via LeMat-Bulk.

a = 7.380 Å, b = 7.380 Å, c = 5.848 Å
α = 99.54°, β = 99.54°, γ = 112.82°
Atoms (fractional coordinates):
Er (0.000, 0.000, 0.000)
Er (0.021, 0.291, 0.580)
Er (0.137, 0.585, 0.188)
Er (0.291, 0.021, 0.580)
Er (0.436, 0.701, 0.780)
Er (0.585, 0.137, 0.188)
Er (0.701, 0.436, 0.780)
Er (0.737, 0.737, 0.390)
Co (0.052, 0.676, 0.692)
Co (0.676, 0.052, 0.692)
Si (0.365, 0.365, 0.358)

DOS at the Fermi energy in states/eV/f.u.: 9.38
Uncorrected formation energy in eV/atom: -0.15
Magnetic moment in μB per formula unit: 0.000

First-principles (PBE) data for an optimized crystal structure of ErCo3Si2, as listed in Alexandria via LeMat-Bulk.

a = 6.237 Å, b = 6.237 Å, c = 6.237 Å
α = 113.09°, β = 87.58°, γ = 130.55°
Atoms (fractional coordinates):
Er (0.467, 0.217, 0.250)
Er (0.533, 0.783, 0.750)
Co (0.000, 0.000, 0.500)
Co (0.000, 0.223, 0.223)
Co (0.000, 0.500, 0.000)
Co (0.000, 0.777, 0.777)
Co (0.500, 0.223, 0.723)
Co (0.500, 0.777, 0.277)
Si (0.124, 0.705, 0.419)
Si (0.215, 0.295, 0.919)
Si (0.785, 0.705, 0.081)
Si (0.876, 0.295, 0.581)

DOS at the Fermi energy in states/eV/f.u.: 2.02
Uncorrected formation energy in eV/atom: -0.73
Magnetic moment in μB per formula unit: 0.000

First-principles (PBE) data for an optimized crystal structure of Er2Co12Si7, as listed in Alexandria via LeMat-Bulk.

a = 9.109 Å, b = 9.109 Å, c = 3.639 Å
α = 90.00°, β = 90.00°, γ = 120.00°
Atoms (fractional coordinates):
Er (0.000, 0.000, 0.000)
Er (0.333, 0.667, 0.500)
Co (0.046, 0.281, 0.500)
Co (0.104, 0.715, 0.000)
Co (0.235, 0.954, 0.500)
Co (0.285, 0.390, 0.000)
Co (0.389, 0.183, 0.000)
Co (0.547, 0.436, 0.500)
Co (0.564, 0.110, 0.500)
Co (0.610, 0.896, 0.000)
Co (0.719, 0.765, 0.500)
Co (0.795, 0.611, 0.000)
Co (0.817, 0.205, 0.000)
Co (0.890, 0.453, 0.500)
Si (0.064, 0.446, 0.000)
Si (0.266, 0.226, 0.500)
Si (0.382, 0.936, 0.000)
Si (0.554, 0.618, 0.000)
Si (0.667, 0.333, 0.000)
Si (0.774, 0.040, 0.500)
Si (0.960, 0.734, 0.500)

DOS at the Fermi energy in states/eV/f.u.: 15.06
Uncorrected formation energy in eV/atom: -0.60
Magnetic moment in μB per formula unit: 0.422

First-principles (PBE) data for an optimized crystal structure of ErCo5Si2, as listed in Alexandria via LeMat-Bulk.

a = 5.838 Å, b = 5.838 Å, c = 5.838 Å
α = 144.49°, β = 112.53°, γ = 78.63°
Atoms (fractional coordinates):
Er (0.000, 0.000, 0.000)
Co (0.169, 0.358, 0.811)
Co (0.453, 0.642, 0.811)
Co (0.500, 0.000, 0.500)
Co (0.547, 0.358, 0.189)
Co (0.831, 0.642, 0.189)
Si (0.255, 0.755, 0.500)
Si (0.745, 0.245, 0.500)

DOS at the Fermi energy in states/eV/f.u.: 8.79
Uncorrected formation energy in eV/atom: -0.43
Magnetic moment in μB per formula unit: 2.713

First-principles (PBE) data for an optimized crystal structure of ErCoSi2, as listed in Alexandria via LeMat-Bulk.

a = 8.898 Å, b = 8.898 Å, c = 8.898 Å
α = 153.88°, β = 123.91°, γ = 62.89°
Atoms (fractional coordinates):
Er (0.207, 0.207, 0.000)
Er (0.242, 0.000, 0.242)
Er (0.758, 0.000, 0.758)
Er (0.793, 0.793, 0.000)
Co (0.104, 0.353, 0.751)
Co (0.397, 0.647, 0.751)
Co (0.603, 0.353, 0.249)
Co (0.896, 0.647, 0.249)
Si (0.077, 0.577, 0.500)
Si (0.146, 0.804, 0.342)
Si (0.415, 0.415, 0.000)
Si (0.461, 0.804, 0.658)
Si (0.539, 0.196, 0.342)
Si (0.585, 0.585, 0.000)
Si (0.854, 0.196, 0.658)
Si (0.923, 0.423, 0.500)

DOS at the Fermi energy in states/eV/f.u.: 1.86
Uncorrected formation energy in eV/atom: -0.74
Magnetic moment in μB per formula unit: 0.000